1.
DFT (PBE-GGA) results for Sm6TlZn5 after structural relaxation.

```
data_Sm6TlZn5
_cell_length_a 8.2508
_cell_length_b 8.2508
_cell_length_c 7.3800
_cell_angle_alpha 90.00
_cell_angle_beta 90.00
_cell_angle_gamma 143.29
_space_group_name_H-M_alt 'P 1'
_space_group_IT_number 1
_space_group_name_Hall 'P 1'
loop_
_atom_site_label
_atom_site_type_symbol
_atom_site_fract_x
_atom_site_fract_y
_atom_site_fract_z
Sm1 Sm 0.0000 0.0000 0.2387
Sm2 Sm 0.0000 0.0000 0.7613
Sm3 Sm 0.3289 0.6711 0.2425
Sm4 Sm 0.3289 0.6711 0.7575
Sm5 Sm 0.6711 0.3289 0.2425
Sm6 Sm 0.6711 0.3289 0.7575
Tl1 Tl 0.5000 0.5000 0.5000
Zn1 Zn 0.1661 0.8339 0.0000
Zn2 Zn 0.1684 0.8316 0.5000
Zn3 Zn 0.5000 0.5000 0.0000
Zn4 Zn 0.8316 0.1684 0.5000
Zn5 Zn 0.8339 0.1661 0.0000
```

Computed properties:
* energy relative to the elements: -316 meV/atom
* spin magnetization: 0.0 μB per cell
* N(E_F): 15.82 states/eV/cell
* V: 25.026 A^3/atom



2.
DFT (PBE-GGA) results for Sm12Tl6Zn after structural relaxation.

```
data_Sm12Tl6Zn
_cell_length_a 8.3108
_cell_length_b 8.3108
_cell_length_c 8.3108
_cell_angle_alpha 92.04
_cell_angle_beta 92.04
_cell_angle_gamma 92.04
_space_group_name_H-M_alt 'P 1'
_space_group_IT_number 1
_space_group_name_Hall 'P 1'
loop_
_atom_site_label
_atom_site_type_symbol
_atom_site_fract_x
_atom_site_fract_y
_atom_site_fract_z
Sm1 Sm 0.0466 0.3535 0.0998
Sm2 Sm 0.0998 0.0466 0.3535
Sm3 Sm 0.1945 0.5599 0.4553
Sm4 Sm 0.3535 0.0998 0.0466
Sm5 Sm 0.4401 0.5447 0.8055
Sm6 Sm 0.4553 0.1945 0.5599
Sm7 Sm 0.5447 0.8055 0.4401
Sm8 Sm 0.5599 0.4553 0.1945
Sm9 Sm 0.6465 0.9002 0.9534
Sm10 Sm 0.8055 0.4401 0.5447
Sm11 Sm 0.9002 0.9534 0.6465
Sm12 Sm 0.9534 0.6465 0.9002
Tl1 Tl 0.1280 0.2901 0.7306
Tl2 Tl 0.2694 0.8720 0.7099
Tl3 Tl 0.2901 0.7306 0.1280
Tl4 Tl 0.7099 0.2694 0.8720
Tl5 Tl 0.7306 0.1280 0.2901
Tl6 Tl 0.8720 0.7099 0.2694
Zn1 Zn 0.0000 0.0000 0.0000
```

Computed properties:
* energy relative to the elements: -165 meV/atom
* spin magnetization: 0.0 μB per cell
* N(E_F): 16.14 states/eV/cell
* V: 30.153 A^3/atom



3.
DFT (PBE-GGA) results for Sm4Tl5Zn2 after structural relaxation.

```
data_Sm4Tl5Zn2
_cell_length_a 8.1963
_cell_length_b 3.7653
_cell_length_c 9.6631
_cell_angle_alpha 90.00
_cell_angle_beta 90.82
_cell_angle_gamma 90.00
_space_group_name_H-M_alt 'P 1'
_space_group_IT_number 1
_space_group_name_Hall 'P 1'
loop_
_atom_site_label
_atom_site_type_symbol
_atom_site_fract_x
_atom_site_fract_y
_atom_site_fract_z
Sm1 Sm 0.2085 0.0000 0.3571
Sm2 Sm 0.2376 0.0000 0.9019
Sm3 Sm 0.7624 0.0000 0.0981
Sm4 Sm 0.7915 0.0000 0.6429
Tl1 Tl 0.1302 0.5000 0.6336
Tl2 Tl 0.4361 0.5000 0.1552
Tl3 Tl 0.5000 0.5000 0.5000
Tl4 Tl 0.5639 0.5000 0.8448
Tl5 Tl 0.8698 0.5000 0.3664
Zn1 Zn 0.0736 0.5000 0.1192
Zn2 Zn 0.9264 0.5000 0.8808
```

Computed properties:
* energy relative to the elements: -299 meV/atom
* spin magnetization: 0.0 μB per cell
* N(E_F): 9.45 states/eV/cell
* V: 27.108 A^3/atom



4.
DFT (PBE-GGA) results for Sm5Tl2Zn2 after structural relaxation.

```
data_Sm5Tl2Zn2
_cell_length_a 9.4045
_cell_length_b 9.4045
_cell_length_c 7.7161
_cell_angle_alpha 90.00
_cell_angle_beta 90.00
_cell_angle_gamma 48.71
_space_group_name_H-M_alt 'P 1'
_space_group_IT_number 1
_space_group_name_Hall 'P 1'
loop_
_atom_site_label
_atom_site_type_symbol
_atom_site_fract_x
_atom_site_fract_y
_atom_site_fract_z
Sm1 Sm 0.0000 0.0000 0.0000
Sm2 Sm 0.0577 0.6792 0.6792
Sm3 Sm 0.1792 0.5577 0.1792
Sm4 Sm 0.3208 0.9423 0.6792
Sm5 Sm 0.4423 0.8208 0.1792
Sm6 Sm 0.5000 0.5000 0.5000
Sm7 Sm 0.5577 0.1792 0.8208
Sm8 Sm 0.6792 0.0577 0.3208
Sm9 Sm 0.8208 0.4423 0.8208
Sm10 Sm 0.9423 0.3208 0.3208
Tl1 Tl 0.2249 0.2249 0.0000
Tl2 Tl 0.2751 0.2751 0.5000
Tl3 Tl 0.7249 0.7249 0.5000
Tl4 Tl 0.7751 0.7751 0.0000
Zn1 Zn 0.1158 0.8842 0.3827
Zn2 Zn 0.3842 0.6158 0.8827
Zn3 Zn 0.6158 0.3842 0.1173
Zn4 Zn 0.8842 0.1158 0.6173
```

Computed properties:
* energy relative to the elements: -249 meV/atom
* spin magnetization: 0.0 μB per cell
* N(E_F): 16.30 states/eV/cell
* V: 28.486 A^3/atom



5.
DFT (PBE-GGA) results for Sm6Tl3Zn after structural relaxation.

```
data_Sm6Tl3Zn
_cell_length_a 9.4608
_cell_length_b 5.3597
_cell_length_c 11.8956
_cell_angle_alpha 90.00
_cell_angle_beta 107.43
_cell_angle_gamma 90.00
_space_group_name_H-M_alt 'P 1'
_space_group_IT_number 1
_space_group_name_Hall 'P 1'
loop_
_atom_site_label
_atom_site_type_symbol
_atom_site_fract_x
_atom_site_fract_y
_atom_site_fract_z
Sm1 Sm 0.0273 0.2500 0.4059
Sm2 Sm 0.1691 0.7500 0.1746
Sm3 Sm 0.2663 0.2500 0.0034
Sm4 Sm 0.3607 0.7500 0.8265
Sm5 Sm 0.3694 0.2500 0.3437
Sm6 Sm 0.4014 0.2500 0.6254
Sm7 Sm 0.5986 0.7500 0.3746
Sm8 Sm 0.6306 0.7500 0.6563
Sm9 Sm 0.6393 0.2500 0.1735
Sm10 Sm 0.7337 0.7500 0.9966
Sm11 Sm 0.8309 0.2500 0.8254
Sm12 Sm 0.9727 0.7500 0.5941
Tl1 Tl 0.0309 0.7500 0.8863
Tl2 Tl 0.1271 0.2500 0.7230
Tl3 Tl 0.2710 0.7500 0.4710
Tl4 Tl 0.7290 0.2500 0.5290
Tl5 Tl 0.8729 0.7500 0.2770
Tl6 Tl 0.9691 0.2500 0.1137
Zn1 Zn 0.4577 0.7500 0.1040
Zn2 Zn 0.5423 0.2500 0.8960
```

Computed properties:
* energy relative to the elements: -265 meV/atom
* spin magnetization: 0.0 μB per cell
* N(E_F): 20.56 states/eV/cell
* V: 28.774 A^3/atom
* excess energy over the best structure of this formula in the dataset: 0 meV per atom



6.
DFT (PBE-GGA) results for Sm4TlZn3 after structural relaxation.

```
data_Sm4TlZn3
_cell_length_a 9.1616
_cell_length_b 9.1616
_cell_length_c 9.1616
_cell_angle_alpha 33.08
_cell_angle_beta 33.08
_cell_angle_gamma 33.08
_space_group_name_H-M_alt 'P 1'
_space_group_IT_number 1
_space_group_name_Hall 'P 1'
loop_
_atom_site_label
_atom_site_type_symbol
_atom_site_fract_x
_atom_site_fract_y
_atom_site_fract_z
Sm1 Sm 0.1198 0.1198 0.1198
Sm2 Sm 0.3696 0.3696 0.3696
Sm3 Sm 0.6304 0.6304 0.6304
Sm4 Sm 0.8802 0.8802 0.8802
Tl1 Tl 0.5000 0.5000 0.5000
Zn1 Zn 0.0000 0.0000 0.0000
Zn2 Zn 0.2507 0.2507 0.2507
Zn3 Zn 0.7493 0.7493 0.7493
```

Computed properties:
* energy relative to the elements: -320 meV/atom
* spin magnetization: 0.0 μB per cell
* N(E_F): 10.40 states/eV/cell
* V: 25.482 A^3/atom
* excess energy over the best structure of this formula in the dataset: 0 meV per atom



7.
DFT (PBE-GGA) results for Sm6Tl3Zn after structural relaxation.

```
data_Sm6Tl3Zn
_cell_length_a 11.6084
_cell_length_b 3.7845
_cell_length_c 14.6432
_cell_angle_alpha 90.00
_cell_angle_beta 108.51
_cell_angle_gamma 90.00
_space_group_name_H-M_alt 'P 1'
_space_group_IT_number 1
_space_group_name_Hall 'P 1'
loop_
_atom_site_label
_atom_site_type_symbol
_atom_site_fract_x
_atom_site_fract_y
_atom_site_fract_z
Sm1 Sm 0.0014 0.2500 0.1707
Sm2 Sm 0.0960 0.7500 0.4124
Sm3 Sm 0.2566 0.2500 0.8408
Sm4 Sm 0.3252 0.2500 0.2586
Sm5 Sm 0.3650 0.2500 0.6243
Sm6 Sm 0.4005 0.7500 0.0563
Sm7 Sm 0.5995 0.2500 0.9437
Sm8 Sm 0.6350 0.7500 0.3757
Sm9 Sm 0.6748 0.7500 0.7414
Sm10 Sm 0.7434 0.7500 0.1592
Sm11 Sm 0.9040 0.2500 0.5876
Sm12 Sm 0.9986 0.7500 0.8293
Tl1 Tl 0.1372 0.7500 0.6459
Tl2 Tl 0.1532 0.2500 0.0229
Tl3 Tl 0.3845 0.7500 0.4475
Tl4 Tl 0.6155 0.2500 0.5525
Tl5 Tl 0.8468 0.7500 0.9771
Tl6 Tl 0.8628 0.2500 0.3541
Zn1 Zn 0.4409 0.7500 0.7997
Zn2 Zn 0.5591 0.2500 0.2003
```

Computed properties:
* energy relative to the elements: -186 meV/atom
* spin magnetization: 0.0 μB per cell
* N(E_F): 22.71 states/eV/cell
* V: 30.500 A^3/atom
* excess energy over the best structure of this formula in the dataset: 79 meV per atom



8.
DFT (PBE-GGA) results for Sm3Tl3Zn after structural relaxation.

```
data_Sm3Tl3Zn
_cell_length_a 6.2238
_cell_length_b 6.2238
_cell_length_c 15.3520
_cell_angle_alpha 107.87
_cell_angle_beta 107.87
_cell_angle_gamma 44.03
_space_group_name_H-M_alt 'P 1'
_space_group_IT_number 1
_space_group_name_Hall 'P 1'
loop_
_atom_site_label
_atom_site_type_symbol
_atom_site_fract_x
_atom_site_fract_y
_atom_site_fract_z
Sm1 Sm 0.0347 0.0347 0.3835
Sm2 Sm 0.0971 0.0971 0.9198
Sm3 Sm 0.2386 0.2386 0.2268
Sm4 Sm 0.7614 0.7614 0.7732
Sm5 Sm 0.9029 0.9029 0.0802
Sm6 Sm 0.9653 0.9653 0.6165
Tl1 Tl 0.3563 0.3563 0.4589
Tl2 Tl 0.3734 0.3734 0.9251
Tl3 Tl 0.4796 0.4796 0.7653
Tl4 Tl 0.5204 0.5204 0.2347
Tl5 Tl 0.6266 0.6266 0.0749
Tl6 Tl 0.6437 0.6437 0.5411
Zn1 Zn 0.2579 0.2579 0.6196
Zn2 Zn 0.7421 0.7421 0.3804
```

Computed properties:
* energy relative to the elements: -325 meV/atom
* spin magnetization: 0.0 μB per cell
* N(E_F): 11.54 states/eV/cell
* V: 27.859 A^3/atom



9.
DFT (PBE-GGA) results for Sm4Tl3Zn after structural relaxation.

```
data_Sm4Tl3Zn
_cell_length_a 3.7188
_cell_length_b 3.7188
_cell_length_c 15.9822
_cell_angle_alpha 90.00
_cell_angle_beta 90.00
_cell_angle_gamma 90.00
_space_group_name_H-M_alt 'P 1'
_space_group_IT_number 1
_space_group_name_Hall 'P 1'
loop_
_atom_site_label
_atom_site_type_symbol
_atom_site_fract_x
_atom_site_fract_y
_atom_site_fract_z
Sm1 Sm 0.0000 0.0000 0.1089
Sm2 Sm 0.0000 0.0000 0.3692
Sm3 Sm 0.0000 0.0000 0.6308
Sm4 Sm 0.0000 0.0000 0.8911
Tl1 Tl 0.5000 0.5000 0.2377
Tl2 Tl 0.5000 0.5000 0.5000
Tl3 Tl 0.5000 0.5000 0.7623
Zn1 Zn 0.5000 0.5000 0.0000
```

Computed properties:
* energy relative to the elements: -372 meV/atom
* spin magnetization: 0.0 μB per cell
* N(E_F): 6.50 states/eV/cell
* V: 27.628 A^3/atom
* excess energy over the best structure of this formula in the dataset: 0 meV per atom



10.
DFT (PBE-GGA) results for Sm4TlZn3 after structural relaxation.

```
data_Sm4TlZn3
_cell_length_a 3.7235
_cell_length_b 4.6508
_cell_length_c 11.9590
_cell_angle_alpha 90.00
_cell_angle_beta 90.00
_cell_angle_gamma 90.00
_space_group_name_H-M_alt 'P 1'
_space_group_IT_number 1
_space_group_name_Hall 'P 1'
loop_
_atom_site_label
_atom_site_type_symbol
_atom_site_fract_x
_atom_site_fract_y
_atom_site_fract_z
Sm1 Sm 0.0000 0.0000 0.0000
Sm2 Sm 0.0000 0.5000 0.2916
Sm3 Sm 0.5000 0.0000 0.4804
Sm4 Sm 0.5000 0.5000 0.8049
Tl1 Tl 0.0000 0.0000 0.7109
Zn1 Zn 0.0000 0.5000 0.5643
Zn2 Zn 0.5000 0.0000 0.2106
Zn3 Zn 0.5000 0.5000 0.0773
```

Computed properties:
* energy relative to the elements: -273 meV/atom
* spin magnetization: 0.0 μB per cell
* N(E_F): 7.74 states/eV/cell
* V: 25.887 A^3/atom
* excess energy over the best structure of this formula in the dataset: 47 meV per atom



11.
DFT (PBE-GGA) results for SmTlZn2 after structural relaxation.

```
data_SmTlZn2
_cell_length_a 4.9959
_cell_length_b 4.9959
_cell_length_c 4.9959
_cell_angle_alpha 60.00
_cell_angle_beta 60.00
_cell_angle_gamma 60.00
_space_group_name_H-M_alt 'P 1'
_space_group_IT_number 1
_space_group_name_Hall 'P 1'
loop_
_atom_site_label
_atom_site_type_symbol
_atom_site_fract_x
_atom_site_fract_y
_atom_site_fract_z
Sm1 Sm 0.0000 0.0000 0.0000
Tl1 Tl 0.5000 0.5000 0.5000
Zn1 Zn 0.2500 0.2500 0.2500
Zn2 Zn 0.7500 0.7500 0.7500
```

Computed properties:
* energy relative to the elements: -180 meV/atom
* spin magnetization: 0.0 μB per cell
* N(E_F): 1.46 states/eV/cell
* V: 22.043 A^3/atom
* excess energy over the best structure of this formula in the dataset: 32 meV per atom